Entry 1:
Compound: ErTlSn2Te4
Source: Alexandria
Functional: PBE-GGA
Structure: relaxed

The structure in POSCAR format:
```
ErTlSn2Te4
1.0
4.515 0.000 0.000
0.000 7.823 -0.200
0.000 2.713 7.485
Sn Er Te Tl
2 1 4 1
Direct
0.500 0.000 0.500 Sn
0.000 0.000 0.000 Sn
0.000 0.500 0.500 Er
0.500 0.743 0.269 Te
0.000 0.754 0.728 Te
0.500 0.257 0.731 Te
0.000 0.246 0.272 Te
0.500 0.500 0.000 Tl
```

Values from the calculation:
As for the crystal system: monoclinic. For the final energy, the calculation gives -4.03 eV/atom.

=====

Entry 2:
Compound: Pm7In4Pb
Source: Alexandria
Functional: PBE-GGA
Structure: relaxed

The structure in POSCAR format:
```
Pm7In4Pb
1.0
5.998 0.000 0.000
2.999 8.804 1.302
2.999 1.364 7.217
Pm In Pb
7 4 1
Direct
0.753 0.278 0.217 Pm
0.500 0.000 0.000 Pm
0.923 0.409 0.745 Pm
0.180 0.131 0.508 Pm
0.077 0.591 0.255 Pm
0.820 0.869 0.492 Pm
0.247 0.722 0.783 Pm
0.316 0.341 0.028 In
0.470 0.677 0.383 In
0.530 0.323 0.617 In
0.684 0.659 0.972 In
0.000 0.000 0.000 Pb
```

Values from the calculation:
The calculation puts the formation energy at -0.27 eV per atom. As for the crystal system: monoclinic. For the density of states at the Fermi level, the calculation gives 1.1333 states/eV/atom.

=====

no.,calculated volume (A^3/atom)
1,33.4
2,30.9